# 1
## Li3Co4WO8 (PBEsol)

Data for a relaxed structure of Li3Co4WO8.

**Fermi-level density of states**: 0.631 states/eV per atom
**Mass density**: 6.6 g/cm3
**Space-group type**: C2/m, No. 12
**Magnetic moment**: 0.67 μB per atom
**ΔE_f (raw)**: -128.3 kJ per mole of atoms

Lattice parameters (Å, degrees): 5.875 5.875 5.803 92.33 117.91 119.84
Each line ends with the local moment (μB).
Sites, in units of the cell vectors:
Li (0.000, 0.500, 0.000)  0.01
Li (0.500, 0.000, 0.000)  0.01
Li (0.500, 0.000, 0.500)  0.00
Co (0.000, 0.000, 0.000)  2.35
Co (0.000, 0.000, 0.500)  2.42
Co (0.500, 0.500, 0.500)  2.42
Co (0.000, 0.500, 0.500)  2.36
W (0.500, 0.500, 0.000)  -0.13
O (0.497, 0.742, 0.239)  0.09
O (0.501, 0.743, 0.771)  0.12
O (0.028, 0.270, 0.771)  0.12
O (0.503, 0.258, 0.761)  0.09
O (0.014, 0.252, 0.266)  0.24
O (0.499, 0.257, 0.229)  0.12
O (0.972, 0.730, 0.229)  0.12
O (0.986, 0.748, 0.734)  0.24

***

# 2
## HgSe (PBEsol)

Data for a relaxed structure of HgSe.

**Fermi-level density of states**: 0.090 states/eV per atom
**Mass density**: 9.4 g/cm3
**Space-group type**: P4/nmm, No. 129
**Magnetic moment**: 0.00 μB per atom
**ΔE_f (raw)**: -0.9 kJ per mole of atoms

Lattice parameters (Å, degrees): 4.522 4.522 4.839 90.00 90.00 90.00
Sites, in units of the cell vectors:
Hg (0.500, 0.500, 0.000)
Hg (0.000, 0.000, 0.000)
Se (0.500, 0.000, 0.326)
Se (0.000, 0.500, 0.674)

***

# 3
## BaCa2Cd2 (PBEsol)

Data for a relaxed structure of BaCa2Cd2.

**E_form**: -0.2277 eV/atom
**Fermi-level density of states**: 0.783 states/eV per atom
**Mass density**: 4.4 g/cm3
**Space-group type**: P4/mbm, No. 127
**Magnetic moment**: 0.00 μB per atom
**Energy relative to the lowest polymorph listed for this composition**: 0 meV per atom

Lattice parameters (Å, degrees): 4.389 8.728 8.728 90.00 90.00 90.00
Sites, in units of the cell vectors:
Ca (0.500, 0.163, 0.663)
Ca (0.500, 0.663, 0.837)
Ca (0.500, 0.837, 0.337)
Ca (0.500, 0.337, 0.163)
Ba (0.000, 0.000, 0.000)
Ba (0.000, 0.500, 0.500)
Cd (0.000, 0.378, 0.878)
Cd (0.000, 0.878, 0.622)
Cd (0.000, 0.622, 0.122)
Cd (0.000, 0.122, 0.378)